1.
DFT (PBE) results for an optimized crystal structure of Gd2Er.

a b c (Å): 6.541 6.541 6.541
angles (deg): 60.00 60.00 60.00
Fractional positions:
Gd: 0.000 0.000 0.000
Gd: 0.000 0.000 0.500
Gd: 0.000 0.500 0.000
Gd: 0.500 0.000 0.000
Er: 0.375 0.375 0.375
Er: 0.625 0.625 0.625

E_form = 0.2591 eV per atom
space group = Fd-3m, No. 227
theoretical density = 8.1 g/cm3
E above lowest polymorph = 0.000 eV per atom

***

2.
DFT (PBE) results for an optimized crystal structure of HfMgCoB.

a b c (Å): 4.240 4.240 4.240
angles (deg): 60.00 60.00 60.00
Fractional positions:
Hf: 0.000 0.000 0.000
Mg: 0.500 0.500 0.500
Co: 0.250 0.250 0.250
B: 0.750 0.750 0.750

space group = F-43m, No. 216
theoretical density = 8.4 g/cm3
E above lowest polymorph = 0.000 eV per atom

***

3.
DFT (PBE) results for an optimized crystal structure of KBeCo.

a b c (Å): 4.507 4.507 4.507
angles (deg): 60.00 60.00 60.00
Fractional positions:
K: 0.000 0.000 0.000
Be: 0.500 0.500 0.500
Co: 0.750 0.750 0.750

space group = F-43m, No. 216
theoretical density = 2.7 g/cm3
E above lowest polymorph = 0.000 eV per atom

***

4.
DFT (PBE) results for an optimized crystal structure of MgScZnSn.

a b c (Å): 4.940 4.940 4.940
angles (deg): 60.00 60.00 60.00
Fractional positions:
Mg: 0.000 0.000 0.000
Sc: 0.250 0.250 0.250
Zn: 0.750 0.750 0.750
Sn: 0.500 0.500 0.500

space group = F-43m, No. 216
theoretical density = 4.9 g/cm3
E above lowest polymorph = 0.193 eV per atom

***

5.
DFT (PBE) results for an optimized crystal structure of ScCdBi.

a b c (Å): 4.999 4.999 4.999
angles (deg): 60.00 60.00 60.00
Fractional positions:
Sc: 0.000 0.000 0.000
Cd: 0.500 0.500 0.500
Bi: 0.750 0.750 0.750

space group = F-43m, No. 216
theoretical density = 6.9 g/cm3
E above lowest polymorph = 0.265 eV per atom

***

6.
DFT (PBE) results for an optimized crystal structure of BaSnSbPd2.

a b c (Å): 4.847 4.847 10.639
angles (deg): 90.00 90.00 90.00
Fractional positions:
Ba: 0.250 0.250 0.250
Ba: 0.750 0.750 0.750
Sn: 0.250 0.250 0.615
Sn: 0.750 0.750 0.385
Sb: 0.250 0.750 0.000
Sb: 0.750 0.250 0.000
Pd: 0.250 0.250 0.877
Pd: 0.250 0.750 0.500
Pd: 0.750 0.250 0.500
Pd: 0.750 0.750 0.123

space group = P4/nmm, No. 129
theoretical density = 7.8 g/cm3
E above lowest polymorph = 0.032 eV per atom

***

7.
DFT (PBE) results for an optimized crystal structure of ZnPt3N.

a b c (Å): 4.173 4.173 4.173
angles (deg): 90.00 90.00 90.00
Fractional positions:
Zn: 0.000 0.000 0.000
Pt: 0.000 0.500 0.500
Pt: 0.500 0.000 0.500
Pt: 0.500 0.500 0.000
N: 0.500 0.500 0.500

space group = Pm-3m, No. 221
theoretical density = 15.2 g/cm3
E_tot = -5.161 eV per atom

***

8.
DFT (PBE) results for an optimized crystal structure of CsTbSmTe3.

a b c (Å): 9.082 9.082 12.021
angles (deg): 90.00 90.00 149.03
Fractional positions:
Cs: 0.244 0.756 0.750
Cs: 0.756 0.244 0.250
Tb: 0.033 0.967 0.250
Tb: 0.967 0.033 0.750
Sm: 0.500 0.500 0.000
Sm: 0.500 0.500 0.500
Te: 0.121 0.879 0.043
Te: 0.121 0.879 0.457
Te: 0.436 0.564 0.250
Te: 0.564 0.436 0.750
Te: 0.879 0.121 0.543
Te: 0.879 0.121 0.957

space group = Cmcm, No. 63
theoretical density = 5.4 g/cm3
E above lowest polymorph = 0.000 eV per atom